one:
This record from Alexandria describes an optimized crystal structure of LiPb2. The functional is GGA-PBEsol.

```
LiPb2
1.0
4.3619 0.0000 0.0000
0.0000 4.8748 0.0000
-2.1810 0.0000 7.2317
Pb Li
4 2
Direct
0.9258 0.2500 0.8516
0.0742 0.7500 0.1484
0.2494 0.2500 0.4989
0.7506 0.7500 0.5011
0.5842 0.2500 0.1683
0.4158 0.7500 0.8317
```

Summary:
SG = Cmcm (63)


two:
This record from Alexandria describes an optimized crystal structure of LiPb2. The functional is GGA-PBEsol.

```
LiPb2
1.0
-3.4231 0.2201 0.7420
0.4945 -4.1889 3.5233
1.6420 5.2541 6.0164
Pb Li
4 2
Direct
0.0000 0.5007 0.1905
0.0000 0.4993 0.8095
0.5000 0.9993 0.6905
0.5000 0.0007 0.3095
0.0000 0.0000 0.0000
0.5000 0.5000 0.5000
```

Summary:
SG = Immm (71)


Short version: one, two, most stable first.


one:
This record from Alexandria describes an optimized crystal structure of Ta2RuAu. The functional is GGA-PBEsol.

```
Ta2RuAu
1.0
3.2749 0.0000 0.0000
0.0000 3.2749 0.0000
0.0000 0.0000 6.0986
Ru Au Ta
1 1 2
Direct
0.5000 0.5000 0.7672
0.0000 0.0000 0.4984
0.0000 0.0000 0.9770
0.5000 0.5000 0.2574
```

Summary:
SG = P4mm (99)


two:
This record from Alexandria describes an optimized crystal structure of Ta2RuAu. The functional is GGA-PBEsol.

```
Ta2RuAu
1.0
4.0093 0.0000 0.0000
0.0000 4.0073 0.0000
-2.0046 -2.0037 3.9754
Ru Au Ta
1 1 2
Direct
0.0000 0.5000 0.0000
0.5000 0.0000 0.0000
0.7501 0.7501 0.5001
0.2499 0.2499 0.4999
```

Summary:
SG = I4/mmm (139)


Short version: two, one, most stable first.


one:
This record from Alexandria describes an optimized crystal structure of Ba2SrIr. The functional is GGA-PBEsol.

```
Ba2SrIr
1.0
3.7707 0.0000 0.0000
0.0000 3.7707 0.0000
0.0000 0.0000 10.8415
Ba Ir Sr
2 1 1
Direct
0.0000 0.0000 0.9911
0.5000 0.5000 0.3452
0.0000 0.0000 0.5061
0.5000 0.5000 0.6575
```

Summary:
SG = P4mm (99)


two:
This record from Alexandria describes an optimized crystal structure of Ba2SrIr. The functional is GGA-PBEsol.

```
Ba2SrIr
1.0
4.0924 0.0000 0.0000
-2.0462 5.5968 -0.0029
0.0000 -2.9748 7.2929
Sr Ir Ba
1 1 2
Direct
0.8149 0.6299 0.3730
0.5314 0.0629 0.3750
0.9973 0.9946 0.0769
0.1563 0.3126 0.6752
```

Summary:
SG = Cm (8)


Short version: two, one, most stable first.